i | Computed, not measured: Cu2TcW after structural relaxation at the PBE level of DFT.

- D(E_F): 2.9 states/eV per cell
- Space group: C2/m (12)

Unit cell a=4.761 b=4.761 c=4.651 alpha=80.94 beta=80.94 gamma=32.46
Fractional positions:
Cu 0.001 0.001 0.000
Cu 0.499 0.499 0.500
Tc 0.750 0.750 0.750
W 0.250 0.250 0.250

---

ii | Computed, not measured: Cu2TcW after structural relaxation at the PBE level of DFT.

- D(E_F): 9.5 states/eV per cell
- Space group: I-42d (122)

Unit cell a=6.857 b=6.857 c=5.464 alpha=51.13 beta=51.13 gamma=90.00
Fractional positions:
Cu 0.624 0.125 0.250
Cu 0.126 0.625 0.250
Cu 0.375 0.376 0.750
Cu 0.875 0.874 0.750
Tc 0.500 0.500 0.000
Tc 0.250 0.750 0.500
W 0.000 0.000 0.000
W 0.750 0.250 0.500

---

Q: Which of them is the most stable? A: i.

---

i | Computed, not measured: Cu2TcW after structural relaxation at the PBE level of DFT.

- D(E_F): 2.4 states/eV per cell
- Space group: I-4m2 (119)

Unit cell a=4.656 b=4.656 c=4.656 alpha=131.88 beta=131.88 gamma=70.42
Fractional positions:
Cu 0.000 0.000 0.000
Cu 0.250 0.750 0.500
Tc 0.500 0.500 0.000
W 0.750 0.250 0.500

---

ii | Computed, not measured: Cu2TcW after structural relaxation at the PBE level of DFT.

- D(E_F): 2.5 states/eV per cell
- Space group: Cm (8)

Unit cell a=4.664 b=4.664 c=4.829 alpha=83.75 beta=83.75 gamma=32.17
Fractional positions:
Cu 0.002 0.002 0.985
Cu 0.749 0.749 0.766
Tc 0.495 0.495 0.495
W 0.254 0.254 0.254

---

Q: Which of them is the most stable? A: i.

---

i | Computed, not measured: CuTcW after structural relaxation at the PBE level of DFT.

- D(E_F): 3.3 states/eV per cell
- Space group: I4mm (107)

Unit cell a=6.389 b=6.389 c=6.389 alpha=155.96 beta=155.96 gamma=34.26
Fractional positions:
Cu 0.999 0.999 0.000
Tc 0.340 0.340 0.000
W 0.661 0.661 0.000

---

ii | Computed, not measured: CuTcW after structural relaxation at the PBE level of DFT.

- D(E_F): 3.3 states/eV per cell
- Space group: F-43m (216)

Unit cell a=4.185 b=4.185 c=4.185 alpha=60.00 beta=60.00 gamma=60.00
Fractional positions:
Cu 0.500 0.500 0.500
Tc 0.750 0.750 0.750
W 0.000 0.000 0.000

---

Q: Which of them is the most stable? A: i.

---

i | Computed, not measured: Cu2Tc2W after structural relaxation at the PBE level of DFT.

- D(E_F): 3.0 states/eV per cell
- Space group: P4/mbm (127)

Unit cell a=6.590 b=6.590 c=3.195 alpha=90.00 beta=90.00 gamma=90.00
Fractional positions:
Cu 0.375 0.875 0.000
Cu 0.875 0.625 0.000
Cu 0.625 0.125 0.000
Cu 0.125 0.375 0.000
Tc 0.174 0.674 0.500
Tc 0.674 0.826 0.500
Tc 0.826 0.326 0.500
Tc 0.326 0.174 0.500
W 0.000 0.000 0.000
W 0.500 0.500 0.000

---

ii | Computed, not measured: Cu2Tc2W after structural relaxation at the PBE level of DFT.

- D(E_F): 3.8 states/eV per cell
- Space group: I4/mmm (139)

Unit cell a=3.565 b=3.565 c=6.267 alpha=73.48 beta=73.48 gamma=90.00
Fractional positions:
Cu 0.405 0.405 0.191
Cu 0.595 0.595 0.809
Tc 0.750 0.250 0.500
Tc 0.250 0.750 0.500
W 0.000 0.000 0.000

---

Q: Which of them is the most stable? A: i.

---

i | Computed, not measured: Y4CuTc after structural relaxation at the PBE level of DFT.

- D(E_F): 6.6 states/eV per cell
- Space group: F-43m (216)

Unit cell a=5.990 b=5.990 c=5.990 alpha=60.00 beta=60.00 gamma=60.00
Fractional positions:
Y 0.878 0.374 0.374
Y 0.374 0.374 0.878
Y 0.374 0.878 0.374
Y 0.374 0.374 0.374
Cu 0.750 0.750 0.750
Tc 0.000 0.000 0.000

---

ii | Computed, not measured: Y4CuTc after structural relaxation at the PBE level of DFT.

- D(E_F): 11.1 states/eV per cell
- Space group: C2/c (15)

Unit cell a=6.344 b=7.408 c=7.408 alpha=112.67 beta=97.88 gamma=97.88
Fractional positions:
Y 0.925 0.626 0.778
Y 0.034 0.926 0.277
Y 0.575 0.222 0.374
Y 0.466 0.723 0.074
Y 0.534 0.277 0.926
Y 0.425 0.778 0.626
Y 0.966 0.074 0.723
Y 0.075 0.374 0.222
Cu 0.750 0.628 0.372
Cu 0.250 0.372 0.628
Tc 0.250 0.999 0.001
Tc 0.750 0.001 0.999

---

Q: Which of them is the most stable? A: ii.

---

i | Computed, not measured: YCu2Tc after structural relaxation at the PBE level of DFT.

- D(E_F): 3.9 states/eV per cell
- Space group: Fm-3m (225)

Unit cell a=4.554 b=4.554 c=4.554 alpha=60.00 beta=60.00 gamma=60.00
Fractional positions:
Y 0.000 0.000 0.000
Tc 0.500 0.500 0.500
Cu 0.250 0.250 0.250
Cu 0.750 0.750 0.750

---

ii | Computed, not measured: YCu2Tc after structural relaxation at the PBE level of DFT.

- D(E_F): 2.6 states/eV per cell
- Space group: Cmmm (65)

Unit cell a=6.506 b=4.721 c=2.993 alpha=89.96 beta=62.67 gamma=122.92
Fractional positions:
Cu 0.000 0.000 0.000
Cu 0.500 0.000 0.500
Tc 0.000 0.500 0.500
Y 0.500 0.500 0.000

---

iii | Computed, not measured: YCu2Tc after structural relaxation at the PBE level of DFT.

- D(E_F): 4.6 states/eV per cell
- Space group: R3m (160)

Unit cell a=9.120 b=9.120 c=9.120 alpha=18.47 beta=18.47 gamma=18.47
Fractional positions:
Cu 0.011 0.011 0.011
Cu 0.748 0.748 0.748
Tc 0.489 0.489 0.489
Y 0.252 0.252 0.252

---

Q: Which of them is the most stable? A: i.